1.
# YCo2Mo PBE-GGA relaxed
data_YCo2Mo
_symmetry_space_group_name_H-M 'P 1'
_symmetry_Int_Tables_number 1
_cell_length_a 5.547
_cell_length_b 5.547
_cell_length_c 5.547
_cell_angle_alpha 149.98
_cell_angle_beta 132.21
_cell_angle_gamma 57.47
loop_
_symmetry_equiv_pos_as_xyz
'x,y,z'
loop_
_atom_site_label
_atom_site_type_symbol
_atom_site_fract_x
_atom_site_fract_y
_atom_site_fract_z
Y1 Y 0.000 0.000 0.000
Co1 Co 0.277 0.777 0.500
Co2 Co 0.480 0.480 0.000
Mo1 Mo 0.714 0.214 0.500
# energy of formation	1.3	eV per formula unit
# DOS(E_F)	5.754	states/eV/cell
# magnetic moment	2.0	μB per formula unit

2.
# Y2GaGePt6 PBE-GGA relaxed
data_Y2GaGePt6
_symmetry_space_group_name_H-M 'P 1'
_symmetry_Int_Tables_number 1
_cell_length_a 5.489
_cell_length_b 6.428
_cell_length_c 6.512
_cell_angle_alpha 85.83
_cell_angle_beta 65.08
_cell_angle_gamma 64.76
loop_
_symmetry_equiv_pos_as_xyz
'x,y,z'
loop_
_atom_site_label
_atom_site_type_symbol
_atom_site_fract_x
_atom_site_fract_y
_atom_site_fract_z
Y1 Y 0.247 0.251 0.254
Y2 Y 0.753 0.749 0.746
Ga1 Ga 0.500 0.500 0.500
Ge1 Ge 0.000 0.000 0.000
Pt1 Pt 0.195 0.807 0.304
Pt2 Pt 0.250 0.579 0.919
Pt3 Pt 0.307 0.193 0.693
Pt4 Pt 0.693 0.807 0.307
Pt5 Pt 0.750 0.421 0.081
Pt6 Pt 0.805 0.193 0.696
# energy of formation	-8.2	eV per formula unit
# DOS(E_F)	6.240	states/eV/cell
# magnetic moment	0.0	μB per formula unit

3.
# Rh3O4 PBE-GGA relaxed
data_Rh3O4
_symmetry_space_group_name_H-M 'P 1'
_symmetry_Int_Tables_number 1
_cell_length_a 5.499
_cell_length_b 5.499
_cell_length_c 5.586
_cell_angle_alpha 101.48
_cell_angle_beta 101.48
_cell_angle_gamma 33.11
loop_
_symmetry_equiv_pos_as_xyz
'x,y,z'
loop_
_atom_site_label
_atom_site_type_symbol
_atom_site_fract_x
_atom_site_fract_y
_atom_site_fract_z
Rh1 Rh 0.000 0.000 0.000
Rh2 Rh 0.247 0.247 0.255
Rh3 Rh 0.753 0.753 0.745
O1 O 0.162 0.162 0.875
O2 O 0.343 0.343 0.607
O3 O 0.657 0.657 0.393
O4 O 0.838 0.838 0.125
# DOS(E_F)	4.074	states/eV/cell
# formation energy from raw total energies	-417	meV/atom
# magnetic moment	0.4	μB per formula unit

4.
# TbCe6Sn10 PBE-GGA relaxed
data_TbCe6Sn10
_symmetry_space_group_name_H-M 'P 1'
_symmetry_Int_Tables_number 1
_cell_length_a 9.344
_cell_length_b 9.344
_cell_length_c 6.333
_cell_angle_alpha 90.00
_cell_angle_beta 90.00
_cell_angle_gamma 120.00
loop_
_symmetry_equiv_pos_as_xyz
'x,y,z'
loop_
_atom_site_label
_atom_site_type_symbol
_atom_site_fract_x
_atom_site_fract_y
_atom_site_fract_z
Tb1 Tb 0.000 0.000 0.000
Ce1 Ce 0.000 0.387 0.767
Ce2 Ce 0.000 0.613 0.233
Ce3 Ce 0.387 0.000 0.767
Ce4 Ce 0.387 0.387 0.233
Ce5 Ce 0.613 0.000 0.233
Ce6 Ce 0.613 0.613 0.767
Sn1 Sn 0.000 0.263 0.298
Sn2 Sn 0.000 0.737 0.702
Sn3 Sn 0.263 0.000 0.298
Sn4 Sn 0.263 0.263 0.702
Sn5 Sn 0.333 0.667 0.000
Sn6 Sn 0.333 0.667 0.500
Sn7 Sn 0.667 0.333 0.000
Sn8 Sn 0.667 0.333 0.500
Sn9 Sn 0.737 0.000 0.702
Sn10 Sn 0.737 0.737 0.298
# energy of formation	-8.9	eV per formula unit
# DOS(E_F)	32.791	states/eV/cell
# magnetic moment	3.5	μB per formula unit

5.
# La2Pr3Sn PBE-GGA relaxed
data_La2Pr3Sn
_symmetry_space_group_name_H-M 'P 1'
_symmetry_Int_Tables_number 1
_cell_length_a 8.387
_cell_length_b 8.387
_cell_length_c 4.945
_cell_angle_alpha 90.00
_cell_angle_beta 90.00
_cell_angle_gamma 144.99
loop_
_symmetry_equiv_pos_as_xyz
'x,y,z'
loop_
_atom_site_label
_atom_site_type_symbol
_atom_site_fract_x
_atom_site_fract_y
_atom_site_fract_z
La1 La 0.161 0.839 0.000
La2 La 0.839 0.161 0.000
Pr1 Pr 0.000 0.000 0.500
Pr2 Pr 0.343 0.657 0.500
Pr3 Pr 0.657 0.343 0.500
Sn1 Sn 0.500 0.500 0.000
# energy of formation	-1.6	eV per formula unit
# DOS(E_F)	7.889	states/eV/cell
# magnetic moment	0.0	μB per formula unit

6.
# CsHgH3 PBE-GGA relaxed
data_CsHgH3
_symmetry_space_group_name_H-M 'P 1'
_symmetry_Int_Tables_number 1
_cell_length_a 4.464
_cell_length_b 6.984
_cell_length_c 7.508
_cell_angle_alpha 90.00
_cell_angle_beta 93.92
_cell_angle_gamma 90.00
loop_
_symmetry_equiv_pos_as_xyz
'x,y,z'
loop_
_atom_site_label
_atom_site_type_symbol
_atom_site_fract_x
_atom_site_fract_y
_atom_site_fract_z
Cs1 Cs 0.178 0.250 0.246
Cs2 Cs 0.822 0.750 0.754
Hg1 Hg 0.421 0.250 0.750
Hg2 Hg 0.579 0.750 0.250
H1 H 0.287 0.035 0.650
H2 H 0.287 0.465 0.650
H3 H 0.314 0.750 0.065
H4 H 0.686 0.250 0.935
H5 H 0.713 0.535 0.350
H6 H 0.713 0.965 0.350
# DOS(E_F)	0.000	states/eV/cell
# electronic total energy	-2.231	eV per atom
# magnetic moment	0.0	μB per formula unit

Listing density for the structures above in their given order: 8.01 13.24 6.86 7.58 6.82 4.79 g cm⁻³.